Record 1
DFT (PBE) results for an optimized crystal structure of CaSm2SnN.

theoretical density	6.61	g/cm3
VASP energy	-5.75	eV/atom
SG	P4/mmm

Cell and atoms, written as POSCAR:
```
CaSm2SnN
1.0
4.9426 0.0000 0.0000
0.0000 4.9426 0.0000
0.0000 0.0000 4.8695
Ca Sm Sn N
1 2 1 1
direct
0.0000 0.0000 0.0000
0.0000 0.5000 0.5000
0.5000 0.0000 0.5000
0.5000 0.5000 0.0000
0.0000 0.0000 0.5000
```

=====

Record 2
DFT (PBE) results for an optimized crystal structure of Ca2SmTcN4.

theoretical density	5.24	g/cm3
VASP energy	-7.25	eV/atom
SG	Cmcm

Cell and atoms, written as POSCAR:
```
Ca2SmTcN4
1.0
1.7071 -5.8675 0.0000
1.7071 5.8675 0.0000
0.0000 0.0000 12.1610
Ca Sm Tc N
4 2 2 8
direct
0.1264 0.8736 0.5368
0.1264 0.8736 0.9632
0.8736 0.1264 0.0368
0.8736 0.1264 0.4632
0.4227 0.5773 0.7500
0.5773 0.4227 0.2500
0.3210 0.6790 0.2500
0.6790 0.3210 0.7500
0.0778 0.9222 0.7500
0.2290 0.7710 0.1314
0.2290 0.7710 0.3686
0.5000 0.5000 0.0000
0.5000 0.5000 0.5000
0.7710 0.2290 0.6314
0.7710 0.2290 0.8686
0.9222 0.0778 0.2500
```

=====

Record 3
DFT (PBE) results for an optimized crystal structure of CaSm2TcN4.

theoretical density	6.50	g/cm3
VASP energy	-7.74	eV/atom
SG	Cmcm

Cell and atoms, written as POSCAR:
```
CaSm2TcN4
1.0
1.7577 -6.0309 0.0000
1.7577 6.0309 0.0000
0.0000 0.0000 11.9268
Ca Sm Tc N
2 4 2 8
direct
0.1236 0.8764 0.7500
0.8764 0.1236 0.2500
0.3689 0.6311 0.5355
0.3689 0.6311 0.9645
0.6311 0.3689 0.0355
0.6311 0.3689 0.4645
0.1499 0.8501 0.2500
0.8501 0.1499 0.7500
0.0000 0.0000 0.0000
0.0000 0.0000 0.5000
0.2593 0.7407 0.1291
0.2593 0.7407 0.3709
0.4244 0.5756 0.7500
0.5756 0.4244 0.2500
0.7407 0.2593 0.6291
0.7407 0.2593 0.8709
```

=====

Record 4
DFT (PBE) results for an optimized crystal structure of CaSmTcN3.

theoretical density	5.14	g/cm3
VASP energy	-7.72	eV/atom
SG	P2_1/m

Cell and atoms, written as POSCAR:
```
CaSmTcN3
1.0
7.4393 0.0000 0.0000
0.0000 3.4926 0.0000
-1.4297 0.0000 8.2168
Ca Sm Tc N
2 2 2 6
direct
0.1690 0.2500 0.1389
0.8310 0.7500 0.8611
0.3830 0.7500 0.8358
0.6170 0.2500 0.1642
0.0536 0.2500 0.6162
0.9464 0.7500 0.3838
0.0803 0.2500 0.8395
0.1696 0.7500 0.5603
0.4006 0.7500 0.1198
0.5994 0.2500 0.8802
0.8304 0.2500 0.4397
0.9197 0.7500 0.1605
```

=====

Record 5
DFT (PBE) results for an optimized crystal structure of CaSm3Th2N6.

theoretical density	8.64	g/cm3
VASP energy	-8.23	eV/atom
SG	C2/m

Cell and atoms, written as POSCAR:
```
CaSm3Th2N6
1.0
7.8257 -1.8143 0.0000
7.8257 1.8143 0.0000
-1.7026 0.0000 7.0364
Ca Sm Th N
1 3 2 6
direct
0.0000 0.0000 0.0000
0.0000 0.0000 0.5000
0.3369 0.3369 0.1646
0.6631 0.6631 0.8354
0.3367 0.3367 0.6740
0.6633 0.6633 0.3260
0.1684 0.1684 0.5781
0.1692 0.1692 0.0903
0.4961 0.4961 0.7387
0.5039 0.5039 0.2613
0.8308 0.8308 0.9097
0.8316 0.8316 0.4219
```

=====

Record 6
DFT (PBE) results for an optimized crystal structure of CaSm2TlN.

theoretical density	7.67	g/cm3
VASP energy	-5.25	eV/atom
SG	P4/mmm

Cell and atoms, written as POSCAR:
```
CaSm2TlN
1.0
4.9752 0.0000 0.0000
0.0000 4.9752 0.0000
0.0000 0.0000 4.8930
Ca Sm Tl N
1 2 1 1
direct
0.0000 0.0000 0.0000
0.0000 0.5000 0.5000
0.5000 0.0000 0.5000
0.5000 0.5000 0.0000
0.0000 0.0000 0.5000
```

=====

Record 7
DFT (PBE) results for an optimized crystal structure of Ca3SmU2N6.

theoretical density	7.48	g/cm3
VASP energy	-8.26	eV/atom
SG	C2/m

Cell and atoms, written as POSCAR:
```
Ca3SmU2N6
1.0
7.6159 -1.7650 0.0000
7.6159 1.7650 0.0000
-1.5943 0.0000 6.8567
Ca Sm U N
3 1 2 6
direct
0.0000 0.0000 0.0000
0.3328 0.3328 0.6664
0.6672 0.6672 0.3336
0.0000 0.0000 0.5000
0.3344 0.3344 0.1691
0.6656 0.6656 0.8309
0.1664 0.1664 0.6131
0.1781 0.1781 0.0631
0.4826 0.4826 0.2441
0.5174 0.5174 0.7559
0.8219 0.8219 0.9369
0.8336 0.8336 0.3869
```

=====

Record 8
DFT (PBE) results for an optimized crystal structure of Ca3Sm2UN6.

theoretical density	6.60	g/cm3
VASP energy	-7.76	eV/atom
SG	C2/m

Cell and atoms, written as POSCAR:
```
Ca3Sm2UN6
1.0
3.0673 -5.3147 0.0000
3.0673 5.3147 0.0000
-2.0569 0.0000 5.7362
Ca Sm U N
3 2 1 6
direct
0.0000 0.0000 0.0000
0.3359 0.6641 0.0000
0.6641 0.3359 0.0000
0.1670 0.8330 0.5000
0.8330 0.1670 0.5000
0.5000 0.5000 0.5000
0.1226 0.4260 0.2772
0.2713 0.2713 0.7162
0.4260 0.1226 0.2772
0.5740 0.8774 0.7228
0.7287 0.7287 0.2838
0.8774 0.5740 0.7228
```

=====

Record 9
DFT (PBE) results for an optimized crystal structure of Ca3SmU3N8.

theoretical density	7.53	g/cm3
VASP energy	-8.61	eV/atom
SG	R-3m

Cell and atoms, written as POSCAR:
```
Ca3SmU3N8
1.0
3.5047 2.0235 5.6816
-3.5047 2.0235 5.6816
0.0000 -4.0469 5.6816
Ca Sm U N
3 1 3 8
direct
0.0000 0.5000 0.5000
0.5000 0.0000 0.5000
0.5000 0.5000 0.0000
0.5000 0.5000 0.5000
0.0000 0.0000 0.5000
0.0000 0.5000 0.0000
0.5000 0.0000 0.0000
0.2106 0.7404 0.7404
0.2418 0.2418 0.2418
0.2596 0.2596 0.7894
0.2596 0.7894 0.2596
0.7404 0.2106 0.7404
0.7404 0.7404 0.2106
0.7582 0.7582 0.7582
0.7894 0.2596 0.2596
```

=====

Record 10
DFT (PBE) results for an optimized crystal structure of Ca2Sm3UN6.

theoretical density	7.58	g/cm3
VASP energy	-8.02	eV/atom
SG	C2/m

Cell and atoms, written as POSCAR:
```
Ca2Sm3UN6
1.0
3.0635 -5.2943 0.0000
3.0635 5.2943 0.0000
-2.0390 0.0000 5.7615
Ca Sm U N
2 3 1 6
direct
0.1663 0.8337 0.0000
0.8337 0.1663 0.0000
0.0000 0.0000 0.5000
0.3326 0.6674 0.5000
0.6674 0.3326 0.5000
0.5000 0.5000 0.0000
0.1221 0.4201 0.7600
0.2824 0.2824 0.2374
0.4201 0.1221 0.7600
0.5799 0.8779 0.2400
0.7176 0.7176 0.7626
0.8779 0.5799 0.2400
```

=====

Record 11
DFT (PBE) results for an optimized crystal structure of CaSm2UN4.

theoretical density	8.55	g/cm3
VASP energy	-8.39	eV/atom
SG	P2/m

Cell and atoms, written as POSCAR:
```
CaSm2UN4
1.0
6.0333 0.0000 0.0000
0.0000 3.5471 0.0000
-1.9487 0.0000 5.7601
Ca Sm U N
1 2 1 4
direct
0.0000 0.0000 0.0000
0.0000 0.5000 0.5000
0.5000 0.0000 0.5000
0.5000 0.5000 0.0000
0.2716 0.0000 0.7703
0.2810 0.5000 0.2283
0.7190 0.5000 0.7717
0.7284 0.0000 0.2297
```

=====

Record 12
DFT (PBE) results for an optimized crystal structure of CaSm2VN4.

theoretical density	5.95	g/cm3
VASP energy	-7.91	eV/atom
SG	Cmcm

Cell and atoms, written as POSCAR:
```
CaSm2VN4
1.0
1.7316 -5.9591 0.0000
1.7316 5.9591 0.0000
0.0000 0.0000 12.1113
Ca Sm V N
2 4 2 8
direct
0.0995 0.9005 0.7500
0.9005 0.0995 0.2500
0.3698 0.6302 0.5412
0.3698 0.6302 0.9588
0.6302 0.3698 0.0412
0.6302 0.3698 0.4588
0.1740 0.8260 0.2500
0.8260 0.1740 0.7500
0.0000 0.0000 0.0000
0.0000 0.0000 0.5000
0.2637 0.7363 0.1304
0.2637 0.7363 0.3696
0.4077 0.5923 0.7500
0.5923 0.4077 0.2500
0.7363 0.2637 0.6304
0.7363 0.2637 0.8696
```